1.
Computed, not measured: crystalline Ta3GaOs at its relaxed geometry at the PBE level of DFT.

```
Ta3GaOs
1.0
4.849 0.000 0.000
0.000 4.849 0.000
0.000 0.000 4.849
Os Ga Ta
1 1 3
direct
0.000 0.000 0.000 Os
0.500 0.500 0.500 Ga
0.000 0.000 0.500 Ta
0.000 0.500 0.000 Ta
0.500 0.000 0.000 Ta
```

Summary:
ΔE_f, kJ/mol of formula units: 530
Energy, eV per atom: -8.8653
DOS(E_F), states/eV per cell: 3.9

=====

2.
Computed, not measured: crystalline Ca2La2Au3 at its relaxed geometry at the PBE level of DFT.

```
Ca2La2Au3
1.0
-3.628 -2.542 1.643
1.938 -7.973 -1.262
2.896 -1.676 10.594
Au Ca La
6 4 4
direct
0.912 0.051 0.125 Au
0.331 0.834 0.505 Au
0.088 0.949 0.875 Au
0.669 0.166 0.495 Au
0.159 0.517 0.164 Au
0.841 0.483 0.836 Au
0.077 0.187 0.658 Ca
0.588 0.488 0.336 Ca
0.923 0.813 0.342 Ca
0.412 0.512 0.664 Ca
0.725 0.853 0.697 La
0.275 0.147 0.303 La
0.600 0.760 0.040 La
0.400 0.240 0.960 La
```

Summary:
ΔE_f, kJ/mol of formula units: -426
Energy, eV per atom: -4.0144
DOS(E_F), states/eV per cell: 12.2

=====

3.
Computed, not measured: crystalline LaTaSb2 at its relaxed geometry at the PBE level of DFT.

```
LaTaSb2
1.0
-2.338 -2.894 3.596
-4.037 -2.967 -1.291
0.500 -5.149 -0.097
Ta La Sb
1 1 2
direct
0.500 0.500 0.500 Ta
0.000 0.000 0.000 La
0.250 0.250 0.250 Sb
0.750 0.750 0.750 Sb
```

Summary:
Energy, eV per atom: -6.4601
Formation energy (no corrections), eV/f.u.: -0.8
DOS(E_F), states/eV per cell: 5.5

=====

4.
Computed, not measured: crystalline Ba2AgHg4Bi2 at its relaxed geometry at the PBE level of DFT.

```
Ba2AgHg4Bi2
1.0
7.449 -0.217 -0.314
-3.766 6.430 0.314
-3.766 -1.965 6.131
Hg Ba Bi Ag
4 2 2 1
direct
0.000 0.722 0.278 Hg
0.556 0.278 0.278 Hg
0.444 0.722 0.722 Hg
0.000 0.278 0.722 Hg
0.500 0.750 0.250 Ba
0.500 0.250 0.750 Ba
0.000 0.725 0.725 Bi
0.000 0.275 0.275 Bi
0.000 0.000 0.000 Ag
```

Summary:
ΔE_f, kJ/mol of formula units: -334
Energy, eV per atom: -2.1258
DOS(E_F), states/eV per cell: 6.5

=====

5.
Computed, not measured: crystalline LiRe3Hg at its relaxed geometry at the PBE level of DFT.

```
LiRe3Hg
1.0
4.227 0.000 0.000
0.000 4.227 0.000
0.000 0.000 4.227
Re Hg Li
3 1 1
direct
0.000 0.000 0.500 Re
0.500 0.000 0.000 Re
0.000 0.500 0.000 Re
0.500 0.500 0.500 Hg
0.000 0.000 0.000 Li
```

Summary:
ΔE_f, kJ/mol of formula units: 782
Energy, eV per atom: -6.2920
DOS(E_F), states/eV per cell: 8.0

=====

6.
Computed, not measured: crystalline Li3Be2AgPd3 at its relaxed geometry at the PBE level of DFT.

```
Li3Be2AgPd3
1.0
2.788 0.000 0.000
0.000 6.946 0.000
0.000 -3.473 6.015
Pd Be Li Ag
3 2 3 1
direct
0.000 0.598 0.598 Pd
0.000 0.402 0.000 Pd
0.000 0.000 0.402 Pd
0.500 0.667 0.333 Be
0.500 0.333 0.667 Be
0.500 0.704 0.000 Li
0.500 0.296 0.296 Li
0.500 0.000 0.704 Li
0.000 0.000 0.000 Ag
```

Summary:
ΔE_f, kJ/mol of formula units: -263
Energy, eV per atom: -3.8166
DOS(E_F), states/eV per cell: 2.4